VASP calculation (GGA-PBEsol) on a relaxed BaBiB2Te crystal.

Geometry as POSCAR:
```
BaBiB2Te
1.0
4.7805 0.0000 0.0000
0.0000 4.7805 0.0000
0.0000 0.0000 5.9362
B Bi Ba Te
2 1 1 1
Cartesian
0.0000 2.3903 0.0000
2.3903 0.0000 0.0000
0.0000 0.0000 2.9681
2.3903 2.3903 2.9681
0.0000 0.0000 0.0000
```

For the density of states at the Fermi level, the calculation gives 0.54 states/eV per atom. Its uncorrected formation energy is 1.18 eV/atom.



VASP calculation (GGA-PBEsol) on a relaxed CdIr2F crystal.

Geometry as POSCAR:
```
CdIr2F
1.0
-1.2089 3.0933 2.8273
-3.7324 2.1730 -0.6091
-3.3824 -0.6848 2.6672
Ir F Cd
2 1 1
Cartesian
-2.0809 1.1454 1.2214
-6.2428 3.4361 3.6641
0.0000 0.0000 0.0000
-4.1618 2.2907 2.4427
```

For the density of states at the Fermi level, the calculation gives 1.17 states/eV per atom. Its uncorrected formation energy is 0.79 eV/atom.



VASP calculation (GGA-PBEsol) on a relaxed CrRh2 crystal.

Geometry as POSCAR:
```
CrRh2
1.0
-1.7658 1.2945 1.4609
1.7224 -1.6244 1.1501
4.1094 4.8384 0.6796
Cr Rh
1 2
Cartesian
0.0000 0.0000 0.0000
1.8630 0.8831 1.4693
2.2030 3.6254 1.8214
```

For the density of states at the Fermi level, the calculation gives 0.93 states/eV per atom. For the formation energy, the calculation gives -0.18 eV/f.u.



VASP calculation (GGA-PBEsol) on a relaxed InPt2Cl2 crystal.

Geometry as POSCAR:
```
InPt2Cl2
1.0
4.1021 0.0000 0.0000
0.0000 4.1021 0.0000
-2.0511 -2.0511 5.7530
Pt In Cl
2 1 2
Cartesian
2.0511 2.0511 1.2459
0.0000 0.0000 4.5071
0.0000 0.0000 0.0000
0.0000 2.0511 2.8765
2.0511 0.0000 2.8765
```

For the density of states at the Fermi level, the calculation gives 1.15 states/eV per atom. Its uncorrected formation energy is 0.36 eV/atom.



- Number 3 is which compound?
  CrRh2